(1)
GaFeRu2 | GGA-PBE | optimized geometry

Computed properties:
Total energy in eV/atom: -7.25
E_form in eV per atom: 0.26
Density of states at the Fermi level in states/eV per cell: 10.1

Cell: 4.1443 4.1443 12.2850 Å, 90.00 90.00 120.00°
With the nearest neighbours (Å) after each atom.
Space group R3m (No. 160, hexagonal axes)
Inequivalent atoms, fractional coordinates:
Ga 0.0000 0.0000 0.0000  6 Ru 2.48-2.60, 1 Fe 2.49
Fe 0.0000 0.0000 0.2026  1 Ga 2.49, 4 Ru 2.57-2.62
Ru 0.0000 0.0000 0.4160  1 Ru 2.41, 3 Ga 2.60, 1 Fe 2.62
Ru 0.0000 0.0000 0.6124  1 Ru 2.41, 3 Ga 2.48, 3 Fe 2.57

(2)
Ta2GaFe2Ru5 | GGA-PBE | optimized geometry

Computed properties:
Total energy in eV/atom: -9.07
E_form in eV per atom: -0.07
Density of states at the Fermi level in states/eV per cell: 21.0

Cell: 8.6379 8.6379 3.8857 Å, 90.00 90.00 90.00°
With the nearest neighbours (Å) after each atom.
Space group P4/mbm (No. 127)
Inequivalent atoms, fractional coordinates:
Ta 0.1574 0.3426 0.0000  3 Fe 2.51-2.55, 2 Ru 2.73
Ga 0.0000 0.0000 0.0000  8 Ru 2.67
Fe 0.1375 0.6375 0.0000  6 Ru 2.46-2.57, 3 Ta 2.51-2.55
Ru 0.0000 0.5000 0.5000  4 Fe 2.57, 4 Ru 2.69, 4 Ta 2.73
Ru 0.0763 0.8018 0.5000  2 Fe 2.46, 4 Ru 2.59-2.75, 2 Ga 2.67